Material: CuW2Cl
Method: DFT, meta-GGA SCAN
State: single point on PBEsol structure Values from VASP.

The structure in Quantum ESPRESSO input format:
```
&SYSTEM
  ibrav = 0, nat = 4, ntyp = 3
/
ATOMIC_SPECIES
Cu 63.55 Cu.upf
W 183.84 W.upf
Cl 35.45 Cl.upf
ATOMIC_POSITIONS angstrom
Cu 0.000 0.000 0.000
W 0.000 1.856 2.210
W 1.856 0.000 2.210
Cl 1.856 1.856 0.000
CELL_PARAMETERS angstrom
3.713 0.000 0.000
0.000 3.713 0.000
-1.856 -1.856 4.419
```

Output
Total magnetic moment in Bohr magnetons per cell: 0.00


Material: Cu2WCl
Method: DFT, meta-GGA SCAN
State: single point on PBEsol structure Values from VASP.

The structure in Quantum ESPRESSO input format:
```
&SYSTEM
  ibrav = 0, nat = 4, ntyp = 3
/
ATOMIC_SPECIES
W 183.84 W.upf
Cu 63.55 Cu.upf
Cl 35.45 Cl.upf
ATOMIC_POSITIONS angstrom
W 1.352 0.000 0.000
Cu 0.000 1.201 2.141
Cu 0.000 -1.201 2.141
Cl 1.352 2.402 0.000
CELL_PARAMETERS angstrom
2.703 0.000 0.000
0.000 4.803 0.000
0.000 -2.402 4.283
```

Output
Total magnetic moment in Bohr magnetons per cell: 0.00


Material: CuWCl2
Method: DFT, meta-GGA SCAN
State: single point on PBEsol structure Values from VASP.

The structure in Quantum ESPRESSO input format:
```
&SYSTEM
  ibrav = 0, nat = 4, ntyp = 3
/
ATOMIC_SPECIES
W 183.84 W.upf
Cl 35.45 Cl.upf
Cu 63.55 Cu.upf
ATOMIC_POSITIONS angstrom
W 2.263 1.306 0.924
Cl 6.789 3.919 2.771
Cl 0.000 0.000 0.000
Cu 4.526 2.613 1.848
CELL_PARAMETERS angstrom
4.526 0.000 0.000
2.263 3.919 0.000
2.263 1.306 3.695
```

Output
Total magnetic moment in Bohr magnetons per cell: 3.00


Material: Cu2WCl
Method: DFT, meta-GGA SCAN
State: single point on PBEsol structure Values from VASP.

The structure in Quantum ESPRESSO input format:
```
&SYSTEM
  ibrav = 0, nat = 4, ntyp = 3
/
ATOMIC_SPECIES
Cl 35.45 Cl.upf
Cu 63.55 Cu.upf
W 183.84 W.upf
ATOMIC_POSITIONS angstrom
Cl -2.064 -1.684 0.617
Cu -0.491 -3.932 0.489
Cu -2.622 -5.093 0.949
W -0.071 -1.765 2.016
CELL_PARAMETERS angstrom
-1.540 0.468 2.220
-2.614 -1.560 -3.178
1.532 -4.209 1.950
```

Output
Total magnetic moment in Bohr magnetons per cell: 0.00


Material: Cu2WCl
Method: DFT, meta-GGA SCAN
State: single point on PBEsol structure Values from VASP.

The structure in Quantum ESPRESSO input format:
```
&SYSTEM
  ibrav = 0, nat = 4, ntyp = 3
/
ATOMIC_SPECIES
Cu 63.55 Cu.upf
Cl 35.45 Cl.upf
W 183.84 W.upf
ATOMIC_POSITIONS angstrom
Cu 6.339 3.660 2.588
Cu 0.000 0.000 0.000
Cl 4.226 2.440 1.725
W 2.113 1.220 0.863
CELL_PARAMETERS angstrom
4.226 0.000 0.000
2.113 3.660 0.000
2.113 1.220 3.451
```

Output
Total magnetic moment in Bohr magnetons per cell: 0.00


Material: Cu2WCl
Method: DFT, meta-GGA SCAN
State: single point on PBEsol structure Values from VASP.

The structure in Quantum ESPRESSO input format:
```
&SYSTEM
  ibrav = 0, nat = 4, ntyp = 3
/
ATOMIC_SPECIES
Cu 63.55 Cu.upf
Cl 35.45 Cl.upf
W 183.84 W.upf
ATOMIC_POSITIONS angstrom
Cu 0.000 0.000 5.619
Cu 0.000 0.000 1.953
Cl 0.000 1.392 0.000
W 1.383 1.392 3.786
CELL_PARAMETERS angstrom
2.766 0.000 0.000
0.000 2.784 0.000
0.000 0.000 7.572
```

Output
Total magnetic moment in Bohr magnetons per cell: 0.00


Q: Which raw formation energy values were calculated for the entries above? A: 1.361; 0.653; 1.307; 0.635; 1.051; 0.321, in eV/atom.
Q: Which ΔE to the lowest computed polymorph values were calculated for the entries above? A: 113.6; 332.9; 1089.9; 314.6; 730.8; 0.0, in meV per atom.